[1]
## Zr2NiHgC (GGA-PBEsol)

Data for crystalline Zr2NiHgC at its relaxed geometry. Values from VASP.

Structure (Quantum ESPRESSO input):
```
&SYSTEM
  ibrav = 0, nat = 5, ntyp = 4
/
ATOMIC_SPECIES
Ni 58.69 Ni.upf
Zr 91.22 Zr.upf
Hg 200.59 Hg.upf
C 12.01 C.upf
CELL_PARAMETERS angstrom
-1.061 -4.141 -1.386
2.897 0.657 -4.181
4.056 -1.880 2.515
ATOMIC_POSITIONS crystal
Ni 0.500 0.000 0.000
Zr 0.000 0.000 0.500
Hg 0.000 0.000 0.000
C 0.500 0.500 0.500
Zr 0.000 0.500 0.000
```

* ΔE_f: 212.8 kJ per mole of atoms
* total magnetic moment: 0.00 μB/atom


[2]
## HgCO2 (GGA-PBEsol)

Data for crystalline HgCO2 at its relaxed geometry. Values from VASP.

Structure (Quantum ESPRESSO input):
```
&SYSTEM
  ibrav = 0, nat = 4, ntyp = 3
/
ATOMIC_SPECIES
C 12.01 C.upf
O 16.00 O.upf
Hg 200.59 Hg.upf
CELL_PARAMETERS angstrom
3.403 0.000 0.000
1.701 2.947 0.000
1.701 0.982 8.899
ATOMIC_POSITIONS crystal
C 0.000 0.000 0.000
O 0.044 0.044 0.868
Hg 0.500 0.500 0.500
O 0.956 0.956 0.132
```

* total magnetic moment: 0.00 μB/atom
* raw formation energy: -789 meV per atom


[3]
## Hg2PdCO (GGA-PBEsol)

Data for crystalline Hg2PdCO at its relaxed geometry. Values from VASP.

Structure (Quantum ESPRESSO input):
```
&SYSTEM
  ibrav = 0, nat = 5, ntyp = 4
/
ATOMIC_SPECIES
Pd 106.42 Pd.upf
C 12.01 C.upf
Hg 200.59 Hg.upf
O 16.00 O.upf
CELL_PARAMETERS angstrom
-2.949 2.098 -1.804
1.209 -1.782 -4.049
-2.896 -3.492 0.673
ATOMIC_POSITIONS crystal
Pd 0.500 0.000 0.000
C 0.500 0.500 0.500
Hg 0.000 0.000 0.500
O 0.000 0.000 0.000
Hg 0.000 0.500 0.000
```

* total magnetic moment: 0.20 μB/atom
* raw formation energy: 1434 meV per atom


[4]
## ScHg2CO (GGA-PBEsol)

Data for crystalline ScHg2CO at its relaxed geometry. Values from VASP.

Structure (Quantum ESPRESSO input):
```
&SYSTEM
  ibrav = 0, nat = 5, ntyp = 4
/
ATOMIC_SPECIES
C 12.01 C.upf
Sc 44.96 Sc.upf
Hg 200.59 Hg.upf
O 16.00 O.upf
CELL_PARAMETERS angstrom
4.288 0.000 0.000
0.000 4.466 0.000
0.000 0.000 4.466
ATOMIC_POSITIONS crystal
C 0.500 0.000 0.000
Sc 0.500 0.500 0.500
Hg 0.000 0.500 0.000
Hg 0.000 0.000 0.500
O 0.000 0.000 0.000
```

* total magnetic moment: 0.00 μB/atom
* raw formation energy: 1109 meV per atom